(1)
Hf3NbH6 (GGA-PBE, relaxed); V = 9.887 Å³ per atom
1.0
4.115 2.376 3.371
-4.115 2.376 3.371
0.000 -4.752 3.371
Hf Nb H
6 2 12
direct
0.003 0.502 0.750
0.250 0.997 0.498
0.498 0.250 0.997
0.502 0.750 0.003
0.750 0.003 0.502
0.997 0.498 0.250
0.000 0.000 0.000
0.500 0.500 0.500
0.006 0.860 0.699
0.140 0.301 0.994
0.197 0.639 0.491
0.301 0.994 0.140
0.361 0.509 0.803
0.491 0.197 0.639
0.509 0.803 0.361
0.639 0.491 0.197
0.699 0.006 0.860
0.803 0.361 0.509
0.860 0.699 0.006
0.994 0.140 0.301


(2)
HfNb2NiH (GGA-PBE, relaxed); V = 14.431 Å³ per atom
1.0
3.943 0.000 0.000
0.000 3.943 0.000
0.000 0.000 4.641
Hf Nb Ni H
1 2 1 1
direct
0.000 0.000 0.000
0.000 0.500 0.500
0.500 0.000 0.500
0.500 0.500 0.000
0.500 0.500 0.500


(3)
Hf2NbHPb (GGA-PBE, relaxed); V = 17.127 Å³ per atom
1.0
4.635 0.000 0.000
0.000 4.635 0.000
0.000 0.000 3.987
Hf Nb H Pb
2 1 1 1
direct
0.000 0.500 0.000
0.500 0.000 0.000
0.000 0.000 0.500
0.000 0.000 0.000
0.500 0.500 0.500


Short version: electronic total energy = -6.3721 -7.9249 -7.5340 eV per atom, in the order given.